## La4Ga2Cl (PBE)

Data for La4Ga2Cl after structural relaxation.

Cell: 12.706 4.463 8.977 Å, 90.00 126.02 90.00°
Space group C2/m (No. 12)
Symmetry-distinct sites (fractional):
La 0.088 0.000 0.387
La 0.180 0.500 0.086
Ga 0.116 0.500 0.668
Cl 0.000 0.000 0.000

Calculated values
E	-4.7485	eV/atom
uncorrected formation energy	-5.6	eV/f.u.
total magnetic moment	0.00	μB/atom